Material: Tl4Cd
Method: DFT, PBE-GGA
State: relaxed

Lattice parameters (Å, degrees): 6.1250 6.1250 6.1250 97.87 97.87 136.57
Last column: nearest neighbours and their distance in Å.
Fractional positions:
1 Tl 0.0977 0.2935 0.3912  3 Cd 3.37-3.64, 9 Tl 3.41-3.68
2 Tl 0.2935 0.9023 0.1958  3 Cd 3.37-3.64, 9 Tl 3.41-3.68
3 Tl 0.7065 0.0977 0.8042  3 Cd 3.37-3.64, 9 Tl 3.41-3.68
4 Tl 0.9023 0.7065 0.6088  3 Cd 3.37-3.64, 9 Tl 3.41-3.68
5 Cd 0.5000 0.5000 0.0000  12 Tl 3.37-3.64

Energy relative to the elements ... 39 meV per atom
SG ... No. 87